Record 1
First-principles (GGA-PBE) data for YNbB4 after structural relaxation, as listed in OQMD.

Cell and atoms, written as POSCAR:
```
YNbB4
1.0
-5.450 1.762 2.279
2.478 -5.582 10.242
1.509 3.014 1.278
B Nb Y
16 4 4
Direct
0.869 0.031 0.500
0.383 0.049 0.500
0.795 0.188 0.500
0.476 0.194 0.500
0.976 0.306 0.500
0.295 0.312 0.500
0.883 0.451 0.500
0.369 0.469 0.500
0.631 0.531 0.500
0.117 0.549 0.500
0.705 0.688 0.500
0.024 0.694 0.500
0.524 0.806 0.500
0.205 0.812 0.500
0.617 0.951 0.500
0.131 0.969 0.500
0.634 0.087 0.000
0.134 0.413 0.000
0.866 0.587 0.000
0.366 0.913 0.000
0.126 0.151 0.000
0.626 0.349 0.000
0.374 0.651 0.000
0.874 0.849 0.000
```

Calculated values
Its symmetry is Pbam. As for the total energy: -7.817 eV per atom.

---

Record 2
First-principles (GGA-PBE) data for YNbB4 after structural relaxation, as listed in OQMD.

Cell and atoms, written as POSCAR:
```
YNbB4
1.0
-1.527 2.728 -0.447
-1.479 -2.431 1.370
2.230 2.317 6.521
B Nb Y
4 1 1
Direct
0.667 0.333 0.270
0.333 0.667 0.270
0.667 0.333 0.730
0.333 0.667 0.730
0.000 0.000 0.500
0.000 0.000 0.000
```

Calculated values
Its symmetry is P6/mmm. As for the total energy: -7.945 eV per atom.

---

Record 3
First-principles (GGA-PBE) data for Y2NbB after structural relaxation, as listed in OQMD.

Cell and atoms, written as POSCAR:
```
Y2NbB
1.0
0.000 3.380 3.380
3.380 0.000 3.380
3.380 3.380 0.000
B Nb Y
1 1 2
Direct
0.500 0.500 0.500
0.250 0.250 0.250
0.000 0.000 0.000
0.750 0.750 0.750
```

Calculated values
Its symmetry is F-43m. As for the total energy: -6.598 eV per atom.

---

Record 4
First-principles (GGA-PBE) data for NbZnB4 after structural relaxation, as listed in OQMD.

Cell and atoms, written as POSCAR:
```
NbZnB4
1.0
3.037 0.000 0.000
-1.518 2.630 0.000
0.000 0.000 7.112
B Nb Zn
4 1 1
Direct
0.667 0.333 0.243
0.333 0.667 0.243
0.667 0.333 0.757
0.333 0.667 0.757
0.000 0.000 0.000
0.000 0.000 0.500
```

Calculated values
For the energy above the most stable polymorph in this dataset, the calculation gives 0 meV/atom. Its symmetry is P6/mmm.

---

Record 5
First-principles (GGA-PBE) data for NbZnB2 after structural relaxation, as listed in OQMD.

Cell and atoms, written as POSCAR:
```
NbZnB2
1.0
2.162 -2.659 -2.163
0.529 -3.775 1.374
-1.853 -3.102 -1.835
B Nb Zn
2 1 1
Direct
0.000 0.000 0.000
0.250 0.250 0.250
0.750 0.750 0.750
0.500 0.500 0.500
```

Calculated values
Its symmetry is F-43m. As for the total energy: -4.904 eV per atom.

---

Record 6
First-principles (GGA-PBE) data for Nb3ZnB2 after structural relaxation, as listed in OQMD.

Cell and atoms, written as POSCAR:
```
Nb3ZnB2
1.0
3.274 0.000 0.000
-1.637 2.835 0.000
0.000 0.000 18.697
B Nb Zn
4 6 2
Direct
0.333 0.667 0.073
0.333 0.667 0.427
0.667 0.333 0.573
0.667 0.333 0.927
0.000 0.000 0.000
0.667 0.333 0.136
0.667 0.333 0.364
0.000 0.000 0.500
0.333 0.667 0.636
0.333 0.667 0.864
0.000 0.000 0.250
0.000 0.000 0.750
```

Calculated values
Its symmetry is P6_3/mmc. As for the total energy: -7.833 eV per atom.

---

Record 7
First-principles (GGA-PBE) data for NbZn2B after structural relaxation, as listed in OQMD.

Cell and atoms, written as POSCAR:
```
NbZn2B
1.0
-4.188 -0.110 0.556
-2.344 3.395 -0.920
-2.576 -0.055 -3.350
B Nb Zn
1 1 2
Direct
0.500 0.500 0.500
0.250 0.250 0.250
0.000 0.000 0.000
0.750 0.750 0.750
```

Calculated values
Its symmetry is F-43m. As for the total energy: -4.230 eV per atom.

---

Record 8
First-principles (GGA-PBE) data for NbZnB4 after structural relaxation, as listed in OQMD.

Cell and atoms, written as POSCAR:
```
NbZnB4
1.0
2.916 -3.307 -1.440
1.519 -1.434 4.141
-3.824 0.144 -2.621
B Nb Zn
4 1 1
Direct
0.585 0.251 0.334
0.082 0.749 0.334
0.918 0.251 0.666
0.415 0.749 0.666
0.000 0.000 0.000
0.500 0.500 0.000
```

Calculated values
For the energy above the most stable polymorph in this dataset, the calculation gives 4 meV/atom. Its symmetry is Immm.

---

Record 9
First-principles (GGA-PBE) data for Zr2NbB after structural relaxation, as listed in OQMD.

Cell and atoms, written as POSCAR:
```
Zr2NbB
1.0
-0.345 1.798 4.198
-4.124 0.639 1.885
-1.344 -2.618 3.509
B Nb Zr
1 1 2
Direct
0.500 0.500 0.500
0.250 0.250 0.250
0.000 0.000 0.000
0.750 0.750 0.750
```

Calculated values
Its symmetry is F-43m. As for the total energy: -7.957 eV per atom.

---

Record 10
First-principles (GGA-PBE) data for ZrNbB after structural relaxation, as listed in OQMD.

Cell and atoms, written as POSCAR:
```
ZrNbB
1.0
2.859 0.209 3.137
-1.044 -1.280 3.915
1.678 -3.567 1.587
B Nb Zr
1 1 1
Direct
0.500 0.500 0.500
0.250 0.250 0.250
0.000 0.000 0.000
```

Calculated values
For the energy above the most stable polymorph in this dataset, the calculation gives 0 meV/atom. Its symmetry is F-43m.

---

Record 11
First-principles (GGA-PBE) data for ZrNb2B after structural relaxation, as listed in OQMD.

Cell and atoms, written as POSCAR:
```
ZrNb2B
1.0
4.188 -1.613 0.575
2.566 1.529 3.398
0.926 -2.686 3.521
B Nb Zr
1 2 1
Direct
0.500 0.500 0.500
0.000 0.000 0.000
0.750 0.750 0.750
0.250 0.250 0.250
```

Calculated values
Its symmetry is F-43m. As for the total energy: -8.476 eV per atom.

---

Record 12
First-principles (GGA-PBE) data for Nd2B5 after structural relaxation, as listed in OQMD.

Cell and atoms, written as POSCAR:
```
Nd2B5
1.0
0.000 7.274 0.000
2.392 0.000 -6.902
-7.570 -3.637 -0.002
B Nd
20 8
Direct
0.798 0.353 0.085
0.287 0.853 0.085
0.409 0.940 0.320
0.910 0.440 0.320
0.539 0.171 0.498
0.959 0.671 0.498
0.908 0.908 0.499
0.591 0.408 0.499
0.828 0.460 0.500
0.672 0.960 0.500
0.172 0.540 0.500
0.328 0.040 0.500
0.409 0.592 0.501
0.092 0.092 0.501
0.041 0.329 0.502
0.461 0.829 0.502
0.090 0.560 0.680
0.591 0.060 0.680
0.713 0.147 0.915
0.202 0.647 0.915
0.180 0.223 0.237
0.057 0.723 0.237
0.689 0.099 0.238
0.549 0.599 0.238
0.451 0.401 0.762
0.311 0.901 0.762
0.943 0.277 0.763
0.820 0.777 0.763
```

Calculated values
Its symmetry is C2/c. As for the total energy: -6.647 eV per atom.

---

- Which formula does entry 6 have?
  Nb3ZnB2

---

Copy entry 9 word for word.
First-principles (GGA-PBE) data for Zr2NbB after structural relaxation, as listed in OQMD.

Cell and atoms, written as POSCAR:
```
Zr2NbB
1.0
-0.345 1.798 4.198
-4.124 0.639 1.885
-1.344 -2.618 3.509
B Nb Zr
1 1 2
Direct
0.500 0.500 0.500
0.250 0.250 0.250
0.000 0.000 0.000
0.750 0.750 0.750
```

Calculated values
Its symmetry is F-43m. As for the total energy: -7.957 eV per atom.